A geometry-optimized TbCuPt structure, computed with PBE.

Lattice parameters (Å, degrees): 3.610 3.610 8.724 90.00 90.00 90.00
Space group I4mm (No. 107)
Inequivalent atoms, fractional coordinates:
Tb1 0.000 0.000 0.000 [2 per cell]
Cu1 0.000 0.000 0.677 [2 per cell]
Pt1 0.000 0.000 0.338 [2 per cell]

## Properties
Calculated volume   114 Å³/cell
Relative energy among the computed polymorphs   0.1519 eV per atom
Total DFT energy (no corrections)   -5.59 eV per atom
Formation enthalpy at 0 K   -64.78 kJ per mole of atoms